## Li2HfMnOs (GGA-PBE)

Data for a geometry-optimized Li2HfMnOs structure.

Calculated values
DOS at the Fermi energy: 0.8362 states/eV per atom
total magnetization: 4.5 μB/cell
energy: -5.908 eV per atom
density: 6.77 g/cm³
formation enthalpy at 0 K: 928 meV/atom

Unit cell a=4.6917 b=4.6917 c=4.8774 alpha=90.00 beta=90.00 gamma=90.00
Element x y z (fractional)
1 Li 0.0000 0.5000 0.0000
2 Li 0.5000 0.0000 0.0000
3 Hf 0.0000 0.0000 0.5000
4 Mn 0.5000 0.5000 0.5000
5 Os 0.0000 0.0000 0.0000